Entry 1:
Tb12YSc2 after structural relaxation, computed with PBE.

Output
size of the total moment = 0.00 μB per formula unit
DOS at the Fermi energy = 24.83 states/eV/f.u.
crystal system = monoclinic
formation enthalpy at 0 K = 1.4 eV per formula unit

a b c (Å): 6.688 6.688 23.218
angles (deg): 92.46 92.46 114.87
Fractional coordinates of all 30 atoms:
Tb 0.856 0.356 0.422
Tb 0.081 0.080 0.320
Tb 0.482 0.482 0.933
Tb 0.861 0.861 0.442
Tb 0.419 0.420 0.680
Tb 0.982 0.982 0.933
Tb 0.139 0.139 0.558
Tb 0.356 0.856 0.422
Tb 0.700 0.700 0.806
Tb 0.788 0.288 0.151
Tb 0.300 0.300 0.194
Tb 0.361 0.361 0.442
Tb 0.287 0.787 0.151
Tb 0.580 0.581 0.320
Tb 0.518 0.518 0.067
Tb 0.213 0.713 0.849
Tb 0.800 0.800 0.194
Tb 0.644 0.144 0.578
Tb 0.920 0.919 0.680
Tb 0.018 0.018 0.067
Tb 0.639 0.639 0.558
Tb 0.144 0.644 0.578
Tb 0.712 0.212 0.849
Tb 0.200 0.200 0.806
Y 0.000 0.500 0.000
Y 0.500 0.000 0.000
Sc 0.571 0.071 0.285
Sc 0.071 0.571 0.285
Sc 0.429 0.929 0.715
Sc 0.929 0.429 0.715

Entry 2:
Tb7Y2Sc2 after structural relaxation, computed with PBE.

Output
energy above the lowest structure with this stoichiometry = 4.5 kJ per mole of atoms
size of the total moment = 0.00 μB per formula unit
DOS at the Fermi energy = 14.01 states/eV/f.u.
crystal system = orthorhombic
formation enthalpy at 0 K = 1.9 eV per formula unit

a b c (Å): 3.596 10.565 10.565
angles (deg): 62.59 80.20 80.20
Fractional coordinates of all 11 atoms:
Tb 0.191 0.652 0.966
Tb 0.654 0.428 0.263
Tb 0.809 0.034 0.348
Tb 0.346 0.737 0.572
Tb 0.138 0.163 0.561
Tb 0.862 0.439 0.837
Tb 0.500 0.079 0.921
Sc 0.308 0.275 0.108
Sc 0.692 0.892 0.725
Y 0.000 0.729 0.271
Y 0.500 0.426 0.574

Entry 3:
TbY2Sc3 after structural relaxation, computed with PBE.

Output
energy above the lowest structure with this stoichiometry = 29.6 kJ per mole of atoms
size of the total moment = 1.09 μB per formula unit
DOS at the Fermi energy = 10.35 states/eV/f.u.
crystal system = orthorhombic
formation enthalpy at 0 K = 3.3 eV per formula unit

a b c (Å): 11.386 8.601 8.601
angles (deg): 40.55 48.56 48.56
Fractional coordinates of all 12 atoms:
Sc 0.500 0.250 0.750
Sc 0.500 0.750 0.250
Sc 0.753 0.497 0.997
Sc 0.247 0.003 0.503
Sc 0.247 0.503 0.003
Sc 0.753 0.997 0.497
Y 0.396 0.860 0.860
Y 0.885 0.360 0.360
Y 0.115 0.640 0.640
Y 0.604 0.140 0.140
Tb 0.000 0.000 0.000
Tb 0.000 0.500 0.500

Entry 4:
Tb5Y8Sc after structural relaxation, computed with PBE.

Output
size of the total moment = 0.00 μB per formula unit
DOS at the Fermi energy = 20.87 states/eV/f.u.
crystal system = tetragonal
formation enthalpy at 0 K = 3.6 eV per formula unit

a b c (Å): 8.405 8.405 8.405
angles (deg): 110.89 110.89 106.67
Fractional coordinates of all 14 atoms:
Sc 0.250 0.750 0.500
Y 0.732 0.478 0.394
Y 0.337 0.071 0.901
Y 0.564 0.663 0.734
Y 0.083 0.338 0.606
Y 0.662 0.268 0.746
Y 0.929 0.831 0.266
Y 0.522 0.917 0.254
Y 0.169 0.436 0.099
Tb 0.030 0.712 0.895
Tb 0.288 0.184 0.318
Tb 0.500 0.500 0.000
Tb 0.816 0.134 0.105
Tb 0.866 0.970 0.682

Entry 5:
TbY2Sc after structural relaxation, computed with PBE.

Output
energy above the lowest structure with this stoichiometry = 2.2 kJ per mole of atoms
size of the total moment = 0.00 μB per formula unit
DOS at the Fermi energy = 6.50 states/eV/f.u.
crystal system = tetragonal
formation enthalpy at 0 K = 0.2 eV per formula unit

a b c (Å): 4.953 4.933 4.933
angles (deg): 90.00 90.00 90.00
Fractional coordinates of all 4 atoms:
Tb 0.500 0.500 0.500
Y 0.000 0.500 0.000
Y 0.000 0.000 0.500
Sc 0.500 0.000 0.000

Entry 6:
Tb4Y3Sc2 after structural relaxation, computed with PBE.

Output
energy above the lowest structure with this stoichiometry = 0.0 kJ per mole of atoms
size of the total moment = 0.00 μB per formula unit
DOS at the Fermi energy = 13.09 states/eV/f.u.
crystal system = monoclinic
formation enthalpy at 0 K = 0.9 eV per formula unit

a b c (Å): 6.724 11.626 11.626
angles (deg): 50.04 56.65 56.65
Fractional coordinates of all 18 atoms:
Tb 0.957 0.189 0.437
Tb 0.543 0.563 0.811
Tb 0.516 0.165 0.803
Tb 0.984 0.197 0.835
Tb 0.457 0.437 0.189
Tb 0.016 0.803 0.165
Tb 0.484 0.835 0.197
Tb 0.043 0.811 0.563
Sc 0.933 0.546 0.123
Sc 0.567 0.877 0.454
Sc 0.067 0.454 0.877
Sc 0.433 0.123 0.546
Y 0.936 0.111 0.196
Y 0.250 0.509 0.491
Y 0.436 0.196 0.111
Y 0.750 0.491 0.509
Y 0.564 0.804 0.889
Y 0.064 0.889 0.804